Record 1
A plane-wave DFT calculation with PBE was carried out for a relaxed TmPuNiIr crystal.

Cell lengths 4.7858, 4.7858, 4.7858 Å; angles 60.00, 60.00, 60.00 degrees
Element x y z (fractional)
Pu  0.5000  0.5000  0.5000
Ni  0.2500  0.2500  0.2500
Ir  0.7500  0.7500  0.7500
Tm  0.0000  0.0000  0.0000

Calculated formation energy in meV/atom: -462
E in eV per atom: -8.823

Record 2
A plane-wave DFT calculation with PBE was carried out for a relaxed UCu3Si2 crystal.

Cell lengths 3.8786, 7.1648, 7.9749 Å; angles 120.33, 104.07, 90.00 degrees
Element x y z (fractional)
Si  0.4799  0.1337  0.9597
Cu  0.4014  0.4887  0.8028
Cu  0.0400  0.7027  0.0799
Cu  0.9600  0.2973  0.9201
Si  0.5201  0.8663  0.0403
U  0.1489  0.2330  0.2978
Si  0.8052  0.3032  0.6104
U  0.8511  0.7670  0.7022
Cu  0.6855  0.9204  0.3710
Si  0.1948  0.6968  0.3896
Cu  0.5986  0.5113  0.1972
Cu  0.3145  0.0796  0.6290

E_form (uncorrected) in kJ per mole of atoms: -21
E in eV per atom: -5.957

Record 3
A plane-wave DFT calculation with PBE was carried out for a relaxed CsNa2ScI6 crystal.

Cell lengths 8.1988, 8.1980, 8.8971 Å; angles 62.57, 62.56, 59.99 degrees
Element x y z (fractional)
I  0.5534  0.2679  0.2226
Cs  0.8028  0.8028  0.5915
Na  0.5194  0.5194  0.4417
I  0.1801  0.3330  0.7659
I  0.7211  0.1800  0.7659
Na  0.9972  0.9974  0.0082
I  0.2680  0.9560  0.2226
I  0.9560  0.5534  0.2225
Sc  0.3306  0.3305  0.0084
I  0.3330  0.7211  0.7660

E_form (uncorrected) in kJ per mole of atoms: -123
E in eV per atom: -3.190

Record 4
A plane-wave DFT calculation with PBE was carried out for a relaxed Cs2KTl2 crystal.

Cell lengths 9.3086, 9.3086, 6.5145 Å; angles 90.00, 90.00, 90.00 degrees
Element x y z (fractional)
Tl  0.6133  0.1133  0.0000
Cs  0.8220  0.3220  0.5000
Cs  0.6780  0.8220  0.5000
K  0.5000  0.5000  0.0000
Tl  0.1133  0.3867  0.0000
K  0.0000  0.0000  0.0000
Tl  0.3867  0.8867  0.0000
Tl  0.8867  0.6133  0.0000
Cs  0.3220  0.1780  0.5000
Cs  0.1780  0.6780  0.5000

Calculated formation energy in meV/atom: -7
Energy relative to the lowest polymorph listed for this composition in eV/atom: 0.039
E in eV per atom: -1.514

Record 5
A plane-wave DFT calculation with PBE was carried out for a relaxed SrPtW crystal.

Cell lengths 5.9358, 4.4908, 5.9360 Å; angles 112.21, 100.61, 67.79 degrees
Element x y z (fractional)
Sr  0.3392  0.2199  0.2504
W  0.0835  0.6311  0.8171
Pt  0.9482  0.9262  0.2720
Sr  0.6909  0.3681  0.8986
Pt  0.7126  0.6619  0.5076
W  0.2576  0.9569  0.6429

Calculated formation energy in meV/atom: 62
Energy relative to the lowest polymorph listed for this composition in eV/atom: 0.089
E in eV per atom: -6.830

Record 6
A plane-wave DFT calculation with PBE was carried out for a relaxed ZnFeH crystal.

Cell lengths 2.9422, 2.9411, 6.5545 Å; angles 90.00, 90.00, 90.00 degrees
Element x y z (fractional)
H  0.7500  0.2500  0.4999
Zn  0.7500  0.7500  0.1313
H  0.2500  0.7500  0.5001
Fe  0.7500  0.7500  0.6313
Fe  0.2500  0.2500  0.3687
Zn  0.2500  0.2500  0.8687

Energy relative to the lowest polymorph listed for this composition in eV/atom: 0.000
E in eV per atom: -4.333

For each record above, in turn, the calculated Fermi-level density of states values are 10.590 13.812 0.000 9.954 1.159 2.569 states/eV/cell.